A plane-wave DFT calculation with PBE-GGA was carried out for an optimized crystal structure of K3La2NpS6.

Properties
density of states at the Fermi level	11.20	states/eV/cell
total moment	8.00	μB/cell
raw total energy	-143.26	eV/cell

Cell: 7.3467 12.7260 7.7585 Å, 90.00 108.41 90.00°
With the nearest neighbours (Å) after each atom.
Space group C2/m (No. 12)
One atom of each set of equivalent atoms:
K1 0.0000 0.0000 0.0000 [2 per cell]  6 S 3.24-3.32
K2 0.0000 0.3327 0.0000 [4 per cell]  6 S 3.24-3.31
La1 0.0000 0.1666 0.5000 [4 per cell]  6 S 2.91
Np1 0.0000 0.5000 0.5000 [2 per cell]  6 S 2.82-2.83
S1 0.2311 0.3376 0.7061 [8 per cell]  1 Np 2.83, 2 La 2.91
S2 0.2441 0.0000 0.7057 [4 per cell]  1 Np 2.82, 2 La 2.91

***

A plane-wave DFT calculation with PBE-GGA was carried out for an optimized crystal structure of TiSb3H.

Properties
density of states at the Fermi level	8.29	states/eV/cell
energy relative to the lowest polymorph listed for this composition	0	meV/atom
total moment	0.00	μB/cell
raw total energy	-21.33	eV/cell

Cell: 4.6465 4.6465 4.6465 Å, 90.00 90.00 90.00°
With the nearest neighbours (Å) after each atom.
Space group Pm-3m (No. 221)
One atom of each set of equivalent atoms:
Ti1 0.0000 0.0000 0.0000 [1 per cell]  12 Sb 3.29
Sb1 0.0000 0.5000 0.5000 [3 per cell]  2 H 2.32
H1 0.5000 0.5000 0.5000 [1 per cell]  6 Sb 2.32

***

A plane-wave DFT calculation with PBE-GGA was carried out for an optimized crystal structure of MnIrRu2.

Properties
formation enthalpy at 0 K	10	kJ/mol of atoms
density of states at the Fermi level	14.75	states/eV/cell
energy relative to the lowest polymorph listed for this composition	150	meV/atom
total moment	4.53	μB/cell
raw total energy	-108.53	eV/cell

Cell: 2.6953 2.6953 25.9399 Å, 90.00 90.00 120.00°
With the nearest neighbours (Å) after each atom.
Space group R-3m (No. 166, hexagonal axes)
One atom of each set of equivalent atoms:
Mn1 0.0000 0.0000 0.0000 [3 per cell]  6 Ru 2.59, 6 Mn 2.70
Ir1 0.0000 0.0000 0.5000 [3 per cell]  6 Ir 2.70, 6 Ru 2.74
Ru1 0.0000 0.0000 0.2534 [6 per cell]  3 Mn 2.59, 6 Ru 2.70, 3 Ir 2.74

***

Question: Which value of raw total energy does entry 2 give?
Answer: -21.33 eV/cell